TlCdIrSe2 PBE-GGA relaxed; total magnetic moment = 1.83 μB per cell; formation energy (no corrections) = 90 kJ per mole of atoms
1.0
5.264 0.000 0.000
0.000 5.188 0.000
0.000 0.000 5.264
Ir Se Tl Cd
1 2 1 1
Cartesian
0.000 2.594 0.000 Ir
0.000 0.000 2.632 Se
2.632 0.000 0.000 Se
2.632 2.594 2.632 Tl
0.000 0.000 0.000 Cd